Entry 1:
Sr2CoNi after structural relaxation, computed with PBE-GGA.

The structure in POSCAR format:
```
Sr2CoNi
1.0
-3.131 -0.398 2.729
2.593 -2.769 2.571
3.181 2.979 4.085
Co Ni Sr
1 1 2
direct
0.000 0.664 0.547 Co
0.500 0.584 0.706 Ni
0.000 0.984 0.907 Sr
0.500 0.268 0.340 Sr
```

Properties
The calculated total energy comes out at -3.9298 eV per atom. The energy of formation is 0.1329 eV per atom. The calculation puts the volume at 105.5 Å³ per cell. The crystal system is orthorhombic.


Entry 2:
Sr2CoNi after structural relaxation, computed with PBE-GGA.

The structure in POSCAR format:
```
Sr2CoNi
1.0
-0.882 -1.795 2.810
1.961 -2.630 -1.064
6.750 3.319 4.239
Co Ni Sr
1 1 2
direct
0.000 0.000 0.591 Co
0.500 0.500 0.661 Ni
0.000 0.000 0.913 Sr
0.500 0.500 0.334 Sr
```

Properties
The calculated total energy comes out at -3.6973 eV per atom. The energy of formation is 0.3654 eV per atom. The calculation puts the volume at 102.7 Å³ per cell. The crystal system is tetragonal.


Entry 3:
Sr2CoNi after structural relaxation, computed with PBE-GGA.

The structure in POSCAR format:
```
Sr2CoNi
1.0
-2.593 -2.231 2.560
3.280 -2.205 1.402
0.870 4.162 4.509
Co Ni Sr
1 1 2
direct
0.000 0.000 0.436 Co
0.500 0.500 0.813 Ni
0.000 0.000 0.909 Sr
0.500 0.500 0.342 Sr
```

Properties
The calculated total energy comes out at -3.4190 eV per atom. The energy of formation is 0.6437 eV per atom. The calculation puts the volume at 111.0 Å³ per cell. The crystal system is orthorhombic.


Entry 4:
SrCo2Ni after structural relaxation, computed with PBE-GGA.

The structure in POSCAR format:
```
SrCo2Ni
1.0
5.541 0.107 0.064
2.708 4.836 -0.064
-3.493 -3.525 2.468
Co Ni Sr
2 1 1
direct
0.963 0.963 0.000 Co
0.537 0.537 0.000 Co
0.750 0.250 0.500 Ni
0.250 0.750 0.500 Sr
```

Properties
The calculated total energy comes out at -4.7945 eV per atom. The energy of formation is 0.6242 eV per atom. The calculation puts the volume at 64.7 Å³ per cell. The crystal system is orthorhombic.